An optimized crystal structure of Be2VCo5Re2, computed with GGA-PBE.

DFT formation energy: -0.089 eV per atom

a = 8.132 Å, b = 8.132 Å, c = 3.267 Å
α = 90.00°, β = 90.00°, γ = 90.00°
Positions (direct):
Be (0.117, 0.383, 0.000)
Be (0.383, 0.883, 0.000)
Be (0.617, 0.117, 0.000)
Be (0.883, 0.617, 0.000)
V (0.000, 0.000, 0.000)
V (0.500, 0.500, 0.000)
Co (0.000, 0.500, 0.500)
Co (0.065, 0.207, 0.500)
Co (0.207, 0.935, 0.500)
Co (0.293, 0.435, 0.500)
Co (0.435, 0.707, 0.500)
Co (0.500, 0.000, 0.500)
Co (0.565, 0.293, 0.500)
Co (0.707, 0.565, 0.500)
Co (0.793, 0.065, 0.500)
Co (0.935, 0.793, 0.500)
Re (0.178, 0.678, 0.000)
Re (0.322, 0.178, 0.000)
Re (0.678, 0.822, 0.000)
Re (0.822, 0.322, 0.000)